Below is crystalline AcFe3B4O12 at its relaxed geometry, with properties calculated at the GGA+U level.

```
data_AcFe3B4O12
_cell_length_a 9.7620
_cell_length_b 9.7620
_cell_length_c 7.8429
_cell_angle_alpha 90.00
_cell_angle_beta 90.00
_cell_angle_gamma 120.00
_symmetry_space_group_name_H-M 'R 3 2'
_symmetry_Int_Tables_number 155
_symmetry_space_group_name_Hall 'R 3 2"'
loop_
_atom_site_label
_atom_site_fract_x
_atom_site_fract_y
_atom_site_fract_z
_atom_site_occupancy
Ac1 0.0000 0.0000 0.0000 1
Fe1 0.0000 0.5524 0.0000 1
B1 0.0000 0.0000 0.5000 1
B2 0.0000 0.4431 0.5000 1
O1 0.0000 0.5867 0.5000 1
O2 0.0000 0.8569 0.5000 1
O3 0.0274 0.2194 0.1912 1
```

Results
DOS(E_F) in states/eV per atom: 0.000
E in hartree per atom: -0.2796